VASP calculation (meta-GGA SCAN) on a PBEsol-optimized structure of CaCuSe2.

Unit cell a=3.9053 b=4.3276 c=5.9625 alpha=98.64 beta=109.12 gamma=90.00
Element x y z (fractional)
Ca (0.4957, 0.5369, 0.9915)
Cu (0.2091, 0.3359, 0.4182)
Se (0.0202, 0.0452, 0.0403)
Se (0.7750, 0.5820, 0.5500)

Properties
* calculated volume: 23.5 A^3/atom
* calculated total energy: -69.01 eV/f.u.
* magnetic moment: 0.000 μB/f.u.


VASP calculation (meta-GGA SCAN) on a PBEsol-optimized structure of Gd3Al2Ni6.

Unit cell a=7.6411 b=7.6411 c=7.6411 alpha=109.47 beta=109.47 gamma=109.47
Each line ends with the local moment (μB).
Element x y z (fractional)
Gd (0.7092, 0.7092, 0.0000)  -7.25
Gd (0.0000, 0.2908, 0.2908)  -7.25
Gd (0.0000, 0.7092, 0.7092)  -7.25
Gd (0.2908, 0.0000, 0.2908)  -7.25
Gd (0.2908, 0.2908, 0.0000)  -7.25
Gd (0.7092, 0.0000, 0.7092)  -7.25
Al (0.0000, 0.5000, 0.0000)  -0.01
Al (0.5000, 0.5000, 0.5000)  -0.01
Al (0.0000, 0.0000, 0.5000)  -0.01
Al (0.5000, 0.0000, 0.0000)  -0.01
Ni (0.6637, 0.6637, 0.3274)  0.06
Ni (0.0000, 0.3363, 0.6637)  0.06
Ni (0.6637, 0.3274, 0.6637)  0.06
Ni (0.3363, 0.6726, 0.3363)  0.06
Ni (0.3363, 0.0000, 0.6637)  0.06
Ni (0.3363, 0.3363, 0.6726)  0.06
Ni (0.6637, 0.0000, 0.3363)  0.06
Ni (0.0000, 0.6637, 0.3363)  0.06
Ni (0.6637, 0.3363, 0.0000)  0.06
Ni (0.3274, 0.6637, 0.6637)  0.06
Ni (0.3363, 0.6637, 0.0000)  0.06
Ni (0.6726, 0.3363, 0.3363)  0.06

Properties
* energy relative to the elements: -0.52 eV/atom
* calculated volume: 15.6 A^3/atom
* magnetic moment: 22.589 μB/f.u.


VASP calculation (meta-GGA SCAN) on a PBEsol-optimized structure of Mn4Re.

Unit cell a=3.5488 b=4.3623 c=4.3623 alpha=80.48 beta=66.00 gamma=66.00
Element x y z (fractional)
Mn (0.8089, 0.7847, 0.5975)
Mn (0.1911, 0.2153, 0.4025)
Mn (0.5936, 0.5975, 0.2153)
Mn (0.4064, 0.4025, 0.7847)
Re (0.0000, 0.0000, 0.0000)

Properties
* energy relative to the elements: 0.19 eV/atom
* calculated volume: 11.3 A^3/atom
* magnetic moment: 0.001 μB/f.u.


VASP calculation (meta-GGA SCAN) on a PBEsol-optimized structure of NiP2IO.

Unit cell a=3.7911 b=5.0533 c=5.0533 alpha=90.00 beta=90.00 gamma=90.00
Each line ends with the local moment (μB).
Element x y z (fractional)
I (0.0000, 0.0000, 0.0000)  0.00
Ni (0.5000, 0.5000, 0.5000)  1.10
O (0.5000, 0.0000, 0.0000)  0.00
P (0.0000, 0.0000, 0.5000)  -0.03
P (0.0000, 0.5000, 0.0000)  -0.03

Properties
* calculated volume: 19.4 A^3/atom
* calculated total energy: -73.13 eV/f.u.
* magnetic moment: 0.995 μB/f.u.